Co2SiB | PBE | optimized geometry Values from VASP.

Properties
As for the excess energy over the best structure of this formula in the dataset: 0.0000 eV per atom. Its density is 7.0 Mg/m³. Its space group is Fm-3m, No. 225. For the formation energy (no corrections), the calculation gives -0.141 eV per atom.

```
&SYSTEM
  ibrav = 0, nat = 4, ntyp = 3
/
ATOMIC_SPECIES
Si 28.09 Si.upf
B 10.81 B.upf
Co 58.93 Co.upf
ATOMIC_POSITIONS angstrom
Si -3.7760 -1.0409 -2.3887
B 0.0000 0.0000 0.0000
Co -1.8880 -0.5205 -1.1944
Co -5.6640 -1.5614 -3.5831
CELL_PARAMETERS angstrom
-1.5899 -2.5308 -2.2581
-3.6785 -0.6681 0.2318
-2.2835 1.1171 -2.7512
```

BaLiI3 | PBE | optimized geometry Values from VASP.

Properties
Its density is 3.4 Mg/m³. Its space group is Ama2, No. 40. For the formation energy (no corrections), the calculation gives -1.508 eV per atom.

```
&SYSTEM
  ibrav = 0, nat = 10, ntyp = 3
/
ATOMIC_SPECIES
Ba 137.33 Ba.upf
Li 6.94 Li.upf
I 126.90 I.upf
ATOMIC_POSITIONS angstrom
Ba -8.2921 -1.8388 2.4989
Ba -4.2849 -3.4419 -2.2355
Li -0.7227 -5.8323 -1.1066
Li -9.1322 -5.4385 0.0467
I -7.9605 -7.9022 -0.5223
I -1.4357 -4.6753 -3.5911
I -7.4925 -3.0930 -0.7155
I -9.0941 -5.1103 2.8593
I -2.8705 -1.2206 -0.0631
I -3.3992 -5.8962 0.1597
CELL_PARAMETERS angstrom
-2.1874 0.0271 -4.6222
3.2363 -7.1219 -1.5733
-11.8294 -2.1394 5.5855
```

Dy2Zn5PdRh2 | PBE | optimized geometry Values from VASP.

Properties
Its density is 9.1 Mg/m³. Its space group is P4/mbm, No. 127. Its formation energy from the elements is -48.1 kJ per mole of atoms.

```
&SYSTEM
  ibrav = 0, nat = 20, ntyp = 4
/
ATOMIC_SPECIES
Dy 162.50 Dy.upf
Zn 65.41 Zn.upf
Pd 106.42 Pd.upf
Rh 102.91 Rh.upf
ATOMIC_POSITIONS angstrom
Dy 5.0100 1.9210 3.9167
Dy -0.6102 4.9861 6.7079
Dy 0.1923 2.0260 2.8375
Dy 4.2075 4.8810 7.7872
Zn 1.1432 -0.9814 2.2915
Zn 2.6811 4.7701 10.5987
Zn -3.0832 2.9548 6.6357
Zn 3.7927 1.8609 6.8767
Zn 6.9075 0.8340 6.2544
Zn 0.0316 1.9279 6.0135
Zn 1.5862 3.0513 7.9548
Zn 2.2380 0.7374 4.9354
Zn 3.9414 -0.8641 3.1638
Zn -2.3170 1.1993 4.4141
Pd 0.0000 0.0000 0.0000
Pd 2.1999 3.4535 5.3123
Rh -1.4880 3.6081 4.5882
Rh 5.8878 3.2990 6.0364
Rh 1.7103 5.7043 8.2860
Rh 2.6894 1.2027 2.3386
CELL_PARAMETERS angstrom
-0.5755 -3.1183 2.2655
8.4582 1.3902 4.0621
-4.0584 5.5169 6.5626
```

Mg8Re | PBE | optimized geometry Values from VASP.

Properties
Its density is 3.4 Mg/m³. Its space group is I4/mmm, No. 139. Its formation energy from the elements is 17.1 kJ per mole of atoms.

```
&SYSTEM
  ibrav = 0, nat = 9, ntyp = 2
/
ATOMIC_SPECIES
Mg 24.30 Mg.upf
Re 186.21 Re.upf
ATOMIC_POSITIONS angstrom
Mg 2.2404 -0.1663 1.8062
Mg -1.8653 -0.7005 2.0830
Mg -4.0395 -5.0402 -0.7339
Mg 0.5212 -4.5582 -1.0662
Mg 5.0568 -3.8566 -1.3472
Mg 0.4171 -2.4412 1.4749
Mg -1.9230 -2.3994 -0.3494
Mg 2.4073 -1.8359 -0.6413
Re 0.0000 0.0000 0.0000
CELL_PARAMETERS angstrom
6.9007 0.4401 1.4919
-6.5257 -1.3070 2.3972
0.5633 -6.1326 -3.4805
```

CsCd2AuS | PBE | optimized geometry Values from VASP.

Properties
As for the excess energy over the best structure of this formula in the dataset: 0.2883 eV per atom. Its density is 5.9 Mg/m³. Its space group is P4/mmm, No. 123. For the formation energy (no corrections), the calculation gives 0.121 eV per atom.

```
&SYSTEM
  ibrav = 0, nat = 5, ntyp = 4
/
ATOMIC_SPECIES
Cs 132.91 Cs.upf
S 32.06 S.upf
Au 196.97 Au.upf
Cd 112.41 Cd.upf
ATOMIC_POSITIONS angstrom
Cs -1.6066 -4.4673 0.1875
S 0.0000 0.0000 0.0000
Au 1.2132 -1.9993 1.3274
Cd -2.4428 -0.7952 1.0351
Cd -0.3771 -1.6728 -2.1750
CELL_PARAMETERS angstrom
-0.7541 -3.3456 -4.3500
2.4265 -3.9987 2.6547
-4.8856 -1.5903 2.0701
```

LiCe2Cl7 | PBE | optimized geometry Values from VASP.

Properties
Its density is 3.2 Mg/m³. Its space group is R-3m, No. 166. For the formation energy (no corrections), the calculation gives -2.034 eV per atom.

```
&SYSTEM
  ibrav = 0, nat = 10, ntyp = 3
/
ATOMIC_SPECIES
Li 6.94 Li.upf
Ce 140.12 Ce.upf
Cl 35.45 Cl.upf
ATOMIC_POSITIONS angstrom
Li 3.7160 2.1896 7.4605
Ce 0.6746 0.3975 10.4655
Ce 6.7573 3.9816 4.4555
Cl 5.3769 3.1682 12.3124
Cl 4.2040 2.4772 4.6825
Cl 0.0000 0.0000 0.0000
Cl 2.0550 1.2109 2.6086
Cl 1.1389 0.6711 7.8229
Cl 6.2930 3.7080 7.0981
Cl 3.2279 1.9020 10.2385
CELL_PARAMETERS angstrom
4.8762 0.0000 0.8568
2.3629 4.2655 0.8568
0.1928 0.1136 13.2075
```

Rh3SeBr | PBE | optimized geometry Values from VASP.

Properties
As for the excess energy over the best structure of this formula in the dataset: 0.0000 eV per atom. Its density is 7.7 Mg/m³. Its space group is Pm-3m, No. 221. For the formation energy (no corrections), the calculation gives 0.662 eV per atom.

```
&SYSTEM
  ibrav = 0, nat = 5, ntyp = 3
/
ATOMIC_SPECIES
Rh 102.91 Rh.upf
Se 78.96 Se.upf
Br 79.90 Br.upf
ATOMIC_POSITIONS angstrom
Rh 0.0000 2.3257 0.0000
Rh 0.0000 0.0000 2.3257
Rh 2.3257 0.0000 0.0000
Se 0.0000 0.0000 0.0000
Br 2.3257 2.3257 2.3257
CELL_PARAMETERS angstrom
4.6514 0.0000 0.0000
0.0000 4.6514 0.0000
0.0000 0.0000 4.6514
```

BaLa2RuI | PBE | optimized geometry Values from VASP.

Properties
Its density is 5.4 Mg/m³. Its space group is P4/mmm, No. 123. For the formation energy (no corrections), the calculation gives -0.408 eV per atom.

```
&SYSTEM
  ibrav = 0, nat = 5, ntyp = 4
/
ATOMIC_SPECIES
I 126.90 I.upf
Ru 101.07 Ru.upf
Ba 137.33 Ba.upf
La 138.91 La.upf
ATOMIC_POSITIONS angstrom
I 2.6736 2.6736 3.4725
Ru 0.0000 0.0000 0.0000
Ba 0.0000 0.0000 3.4725
La 0.0000 2.6736 0.0000
La 2.6736 0.0000 0.0000
CELL_PARAMETERS angstrom
5.3473 0.0000 0.0000
0.0000 5.3473 0.0000
0.0000 0.0000 6.9450
```

Dy5ScIr6 | PBE | optimized geometry Values from VASP.

Properties
Its density is 14.2 Mg/m³. Its space group is P2/m, No. 10. Its formation energy from the elements is -79.8 kJ per mole of atoms.

```
&SYSTEM
  ibrav = 0, nat = 12, ntyp = 3
/
ATOMIC_SPECIES
Sc 44.96 Sc.upf
Ir 192.22 Ir.upf
Dy 162.50 Dy.upf
ATOMIC_POSITIONS angstrom
Sc 0.0000 0.0000 0.0000
Ir 3.8857 4.9487 3.7355
Ir 3.8679 1.5931 3.7296
Ir 2.3288 1.5796 0.7424
Ir 2.3469 4.9892 0.7485
Ir 0.7259 4.9626 5.4064
Ir 0.7080 1.6069 5.4004
Dy 3.0558 3.2711 6.0866
Dy 1.5229 -0.0135 3.0296
Dy 0.0175 3.2980 0.0058
Dy 3.0358 -0.0269 6.0946
Dy 1.5380 3.2846 3.0493
CELL_PARAMETERS angstrom
4.6407 -0.0273 1.4792
0.0351 6.5961 0.0117
-0.0820 -0.0131 7.6450
```

NiTe2H | PBE | optimized geometry Values from VASP.

Properties
As for the excess energy over the best structure of this formula in the dataset: 0.0000 eV per atom. Its density is 6.8 Mg/m³. Its space group is P-1, No. 2.

```
&SYSTEM
  ibrav = 0, nat = 8, ntyp = 3
/
ATOMIC_SPECIES
Ni 58.69 Ni.upf
Te 127.60 Te.upf
H 1.01 H.upf
ATOMIC_POSITIONS angstrom
Ni 1.6661 4.5997 2.0830
Ni 3.7550 1.3491 3.2517
Te 3.9047 3.1029 1.3842
Te 1.9818 -0.1477 2.1447
Te 1.5134 2.8466 3.9527
Te 3.6017 -0.4040 5.1214
H 3.0430 5.3969 -0.9716
H 1.1203 2.1466 -0.2118
CELL_PARAMETERS angstrom
4.0110 0.0005 0.4089
-0.1653 6.5012 -1.9292
1.2517 -1.5975 6.5188
```

NbVRe | PBE | optimized geometry Values from VASP.

Properties
As for the excess energy over the best structure of this formula in the dataset: 0.0248 eV per atom. Its density is 11.4 Mg/m³. Its space group is Imma, No. 74. Its formation energy from the elements is -21.4 kJ per mole of atoms.

```
&SYSTEM
  ibrav = 0, nat = 6, ntyp = 3
/
ATOMIC_SPECIES
Nb 92.91 Nb.upf
V 50.94 V.upf
Re 186.21 Re.upf
ATOMIC_POSITIONS angstrom
Nb 0.7484 0.5686 3.8661
Nb 0.7799 3.6177 -1.3292
V -1.4760 2.1193 2.5156
V 2.2442 0.0000 1.3167
Re 0.7641 2.0931 1.2684
Re -1.4800 2.0931 -0.0483
CELL_PARAMETERS angstrom
4.4802 -0.0522 -2.4943
-2.9601 4.1863 -0.0965
0.0082 0.0522 5.1277
```

Tm2CoOs | PBE | optimized geometry Values from VASP.

Properties
As for the excess energy over the best structure of this formula in the dataset: 0.0109 eV per atom. Its density is 13.2 Mg/m³. Its space group is P4/mmm, No. 123. Its formation energy from the elements is -20.1 kJ per mole of atoms.

```
&SYSTEM
  ibrav = 0, nat = 4, ntyp = 3
/
ATOMIC_SPECIES
Co 58.93 Co.upf
Tm 168.93 Tm.upf
Os 190.23 Os.upf
ATOMIC_POSITIONS angstrom
Co -1.2488 0.4171 1.9544
Tm 3.8792 -1.4248 2.7827
Tm 1.2851 -0.4720 0.9218
Os 1.3334 -0.5313 3.8067
CELL_PARAMETERS angstrom
-0.4568 2.6363 1.9868
-2.0407 -1.8021 1.9221
5.1642 -1.8968 3.7045
```

| no. | energy (eV/f.u.) |
| --- | --- |
| 1 | -26.88 |
| 2 | -16.03 |
| 3 | -40.45 |
| 4 | -23.61 |
| 5 | -9.48 |
| 6 | -47.05 |
| 7 | -23.90 |
| 8 | -24.64 |
| 9 | -92.44 |
| 10 | -15.34 |
| 11 | -32.30 |
| 12 | -28.11 |